Compound: MgCd2N
Source: Alexandria via LeMat-Bulk
Functional: meta-GGA SCAN
Structure: single point on PBEsol structure

energy	-17.83	eV per atom
ΔE_f (raw)	364	kJ/mol of formula units
total magnetic moment	0.19	μB per atom
density	6.43	g cm⁻³

Cell and atoms, written as CIF:
```
data_MgCd2N
_chemical_formula_sum 'Mg4 Cd8 N4'
_cell_length_a 6.479
_cell_length_b 6.479
_cell_length_c 6.479
_cell_angle_alpha 90.00
_cell_angle_beta 90.00
_cell_angle_gamma 90.00
_space_group_name_H-M_alt 'F m -3 m'
_space_group_IT_number 225
_space_group_name_Hall '-F 4 2 3'
loop_
_atom_site_label
_atom_site_type_symbol
_atom_site_fract_x
_atom_site_fract_y
_atom_site_fract_z
Mg1 Mg 0.000 0.000 0.000
Cd1 Cd 0.250 0.250 0.250
N1 N 0.000 0.000 0.500
```